[1]
The following is a PBE calculation of an optimized crystal structure of AlCr4, from Alexandria.

It has space group Pm-3m (No. 221), with a = 4.832 Å, b = 4.832 Å, c = 4.832 Å, α = 90.00°, β = 90.00° and γ = 90.00°. Symmetry generates all atoms from Al at (0.000, 0.000, 0.000), Cr at (0.000, 0.000, 0.500) and Cr at (0.500, 0.500, 0.500).

The value obtained for the size of the total moment is 17.01 μB per formula unit. The calculation puts the energy relative to the lowest polymorph listed for this composition at 1749 meV/atom.

[2]
The following is a PBE calculation of an optimized crystal structure of Al5Cr, from Alexandria.

It has space group P2_1/m (No. 11), with a = 3.027 Å, b = 12.904 Å, c = 5.174 Å, α = 90.00°, β = 106.83° and γ = 90.00°. Symmetry generates all atoms from Al at (0.058, 0.106, 0.113), Al at (0.213, 0.580, 0.426), Al at (0.382, 0.250, 0.767) and Cr at (0.344, 0.750, 0.687).

The value obtained for the size of the total moment is 1.45 μB per formula unit. The calculation puts the energy at -4.7323 eV/atom.

[3]
The following is a PBE calculation of an optimized crystal structure of Cs2AlCr, from Alexandria.

It has space group I-42d (No. 122), with a = 14.258 Å, b = 14.258 Å, c = 5.118 Å, α = 90.00°, β = 90.00° and γ = 90.00°. Symmetry generates all atoms from Cs at (0.006, 0.250, 0.125), Al at (0.000, 0.000, 0.500) and Cr at (0.000, 0.000, 0.000).

The value obtained for the size of the total moment is 3.72 μB per formula unit. The calculation puts the energy at -3.0616 eV/atom.

What did the third record say?
The following is a PBE calculation of an optimized crystal structure of Cs2AlCr, from Alexandria.

It has space group I-42d (No. 122), with a = 14.258 Å, b = 14.258 Å, c = 5.118 Å, α = 90.00°, β = 90.00° and γ = 90.00°. Symmetry generates all atoms from Cs at (0.006, 0.250, 0.125), Al at (0.000, 0.000, 0.500) and Cr at (0.000, 0.000, 0.000).

The value obtained for the size of the total moment is 3.72 μB per formula unit. The calculation puts the energy at -3.0616 eV/atom.